No. 1
A geometry-optimized CaTlCl2 structure, computed with GGA-PBE.

Space-group type: No. 10
V in Å³/atom: 34.26
Energy relative to the elements, uncorrected in kJ/mol of atoms: -134
Fermi-level density of states in states/eV/atom: 0.485

The structure in POSCAR format:
```
CaTlCl2
1.0
3.744 0.000 0.000
0.000 6.066 0.142
0.000 1.365 6.067
Cl Ca Tl
2 1 1
Cartesian
0.000 7.016 5.880 Cl
0.000 4.131 3.433 Cl
1.872 5.573 4.657 Ca
1.872 1.858 1.552 Tl
```



No. 2
A geometry-optimized LiSmLuPd structure, computed with GGA-PBE.

Space-group type: No. 216
V in Å³/atom: 22.51
Formation energy in eV/atom: -0.4029
Fermi-level density of states in states/eV/atom: 0.720

The structure in POSCAR format:
```
LiSmLuPd
1.0
5.031 0.000 0.000
2.515 4.357 0.000
2.515 1.452 4.108
Li Lu Pd Sm
1 1 1 1
Cartesian
0.000 0.000 0.000 Li
7.546 4.357 3.081 Lu
5.031 2.905 2.054 Pd
2.515 1.452 1.027 Sm
```



No. 3
A geometry-optimized SrTl2Cu structure, computed with GGA-PBE.

Space-group type: No. 6
V in Å³/atom: 28.85
Formation energy in eV/atom: -0.0542
Fermi-level density of states in states/eV/atom: 0.509

The structure in POSCAR format:
```
SrTl2Cu
1.0
4.241 0.000 0.000
0.000 4.475 0.017
0.000 2.242 6.090
Sr Tl Cu
1 2 1
Cartesian
2.120 4.755 4.177 Sr
0.000 0.277 0.177 Tl
2.120 2.521 1.505 Tl
0.000 2.523 3.302 Cu
```



No. 4
A geometry-optimized Sc6BeCo2 structure, computed with GGA-PBE.

Space-group type: No. 71
V in Å³/atom: 18.88
Formation energy in eV/atom: -0.1871
Fermi-level density of states in states/eV/atom: 1.096

The structure in POSCAR format:
```
Sc6BeCo2
1.0
-6.301 -2.946 3.110
2.160 -3.966 -6.137
5.827 -0.278 4.901
Sc Be Co
12 2 4
Cartesian
5.952 -3.829 0.600 Sc
-1.215 -2.462 0.604 Sc
-0.167 -5.539 0.640 Sc
4.782 -1.589 2.645 Sc
-3.095 -5.601 -0.770 Sc
4.117 -4.963 -1.754 Sc
0.338 -3.699 3.200 Sc
2.901 -4.728 1.270 Sc
-2.431 -2.228 3.628 Sc
1.348 -3.491 -1.325 Sc
-4.266 -3.361 1.275 Sc
1.854 -1.651 1.234 Sc
0.000 0.000 0.000 Be
3.994 -2.122 -0.618 Be
2.773 -3.211 3.540 Co
-0.159 -1.081 2.685 Co
-0.315 -2.144 5.326 Co
-1.086 -3.979 -1.666 Co
```



No. 5
A geometry-optimized TlZn2Fe structure, computed with GGA-PBE.

Space-group type: No. 10
V in Å³/atom: 17.61
Formation energy in eV/atom: 0.3725
Fermi-level density of states in states/eV/atom: 0.499

The structure in POSCAR format:
```
TlZn2Fe
1.0
4.491 0.000 0.000
0.000 2.964 -0.053
0.000 -0.579 5.302
Fe Tl Zn
1 1 2
Cartesian
2.245 0.596 1.312 Fe
2.245 1.789 3.937 Tl
0.000 2.741 0.229 Zn
0.000 1.416 2.343 Zn
```



No. 6
A geometry-optimized AlAg2W2 structure, computed with GGA-PBE.

Space-group type: No. 139
V in Å³/atom: 18.51
Formation energy in eV/atom: 0.8933
Fermi-level density of states in states/eV/atom: 0.653

The structure in POSCAR format:
```
AlAg2W2
1.0
-1.826 1.826 6.942
1.826 -1.826 6.942
1.826 1.826 -6.942
Al W Ag
1 2 2
Cartesian
0.000 0.000 0.000 Al
0.000 0.000 5.771 W
0.000 0.000 8.112 W
0.000 1.826 3.471 Ag
1.826 0.000 3.471 Ag
```



No. 7
A geometry-optimized Tb2NdTm4In structure, computed with GGA-PBE.

Space-group type: No. 63
V in Å³/atom: 32.09
Formation energy in eV/atom: 0.0944
Fermi-level density of states in states/eV/atom: 1.543

The structure in POSCAR format:
```
Tb2NdTm4In
1.0
-1.706 -3.026 -0.837
2.739 -1.628 7.929
-14.603 6.469 6.374
Tm Nd In Tb
8 2 2 4
Cartesian
-0.006 -1.566 5.674 Tm
-4.728 0.526 7.735 Tm
-13.563 3.382 7.791 Tm
-1.862 -1.361 8.716 Tm
0.000 0.000 0.000 Tm
-11.707 3.177 4.750 Tm
-7.301 3.235 3.187 Tm
-8.841 1.290 5.730 Tm
-10.175 3.558 7.874 Nd
-3.394 -1.743 5.591 Nd
-3.178 0.830 3.476 In
-10.391 0.985 9.990 In
-7.456 1.706 9.029 Tb
-6.113 0.110 4.437 Tb
-11.834 3.645 10.940 Tb
-1.735 -1.830 2.526 Tb
```



No. 8
A geometry-optimized TiRh4 structure, computed with GGA-PBE.

Space-group type: No. 74
V in Å³/atom: 14.60
Formation energy in eV/atom: -0.3712
Fermi-level density of states in states/eV/atom: 1.104

The structure in POSCAR format:
```
TiRh4
1.0
-1.518 -2.663 2.643
4.870 -0.548 2.246
-3.067 6.599 1.788
Ti Rh
2 8
Cartesian
-3.077 2.755 4.108 Ti
3.362 0.633 2.569 Ti
-0.837 3.055 2.598 Rh
-0.653 2.523 5.266 Rh
0.938 0.865 1.411 Rh
1.122 0.332 4.079 Rh
-1.284 0.603 2.969 Rh
1.569 2.785 3.708 Rh
-0.759 -1.332 1.321 Rh
1.676 -1.605 2.444 Rh
```



No. 9
A geometry-optimized Sm2FeGe4Ir3 structure, computed with GGA-PBE.

Space-group type: No. 115
V in Å³/atom: 18.10
Formation energy in eV/atom: -0.6634
Fermi-level density of states in states/eV/atom: 0.620

The structure in POSCAR format:
```
Sm2FeGe4Ir3
1.0
4.254 0.000 0.000
0.000 4.254 0.000
0.000 0.000 10.004
Sm Fe Ge Ir
2 1 4 3
Cartesian
2.127 0.000 2.520 Sm
0.000 2.127 7.484 Sm
2.127 2.127 5.002 Fe
2.127 2.127 0.000 Ge
2.127 0.000 6.238 Ge
0.000 0.000 0.000 Ge
0.000 2.127 3.765 Ge
2.127 0.000 8.707 Ir
0.000 0.000 5.002 Ir
0.000 2.127 1.297 Ir
```



No. 10
A geometry-optimized SrSbPt structure, computed with GGA-PBE.

Space-group type: No. 187
V in Å³/atom: 27.40
Energy relative to the elements, uncorrected in kJ/mol of atoms: -92
Fermi-level density of states in states/eV/atom: 0.750

The structure in POSCAR format:
```
SrSbPt
1.0
4.569 0.000 0.000
-2.285 3.957 0.000
0.000 0.000 4.546
Pt Sb Sr
1 1 1
Cartesian
0.000 0.000 0.756 Pt
2.285 1.319 0.758 Sb
0.000 2.638 3.031 Sr
```



No. 11
A geometry-optimized Ti3MnPd structure, computed with GGA-PBE.

Space-group type: No. 221
V in Å³/atom: 17.57
Formation energy in eV/atom: 0.2615
Fermi-level density of states in states/eV/atom: 1.614

The structure in POSCAR format:
```
Ti3MnPd
1.0
-3.695 -2.465 0.193
2.145 -3.368 -1.953
1.229 -1.531 3.989
Pd Ti Mn
1 3 1
Cartesian
-0.160 -3.682 1.114 Pd
1.073 -1.684 -0.977 Ti
0.614 -0.765 1.994 Ti
-1.847 -1.232 0.096 Ti
0.000 0.000 0.000 Mn
```



No. 12
A geometry-optimized Na3Ni4P4 structure, computed with GGA-PBE.

Space-group type: No. 217
V in Å³/atom: 15.58
Formation energy in eV/atom: -0.4477
Fermi-level density of states in states/eV/atom: 0.747

The structure in POSCAR format:
```
Na3Ni4P4
1.0
6.060 0.000 0.000
-2.020 5.714 0.000
-2.020 -2.857 4.948
P Na Ni
4 3 4
Cartesian
-1.278 3.614 0.000 P
-1.278 -1.807 3.130 P
0.742 1.050 1.818 P
3.833 0.000 0.000 P
2.020 2.857 0.000 Na
-2.020 1.428 2.474 Na
2.020 -1.428 2.474 Na
1.465 2.072 3.589 Ni
-0.555 -0.785 1.359 Ni
1.664 0.000 0.000 Ni
-0.555 1.569 0.000 Ni
```